No. 1
Computed, not measured: a geometry-optimized Y4Ga2Ge5 structure at the GGA-PBE level of DFT.

Calculated values
The total magnetization comes out at 0.0 μB per cell. The calculation puts the electronic total energy at -5.720 eV/atom. The value obtained for the formation energy is -0.72 eV per atom. Its density of states at the Fermi level is 0.19 states/eV per atom.

a b c (Å): 4.1841 6.9423 8.1539
angles (deg): 90.12 90.00 90.00
Sites, in units of the cell vectors:
Y (0.5000, 0.2485, 0.6197)
Y (0.5000, 0.7641, 0.8711)
Y (0.5000, 0.7515, 0.3803)
Y (0.5000, 0.2359, 0.1289)
Ga (0.0000, 0.9092, 0.6280)
Ga (0.0000, 0.0908, 0.3720)
Ge (0.0000, 0.4502, 0.3418)
Ge (0.0000, 0.8804, 0.1208)
Ge (0.0000, 0.5000, 0.0000)
Ge (0.0000, 0.1196, 0.8792)
Ge (0.0000, 0.5498, 0.6582)

No. 2
Computed, not measured: a geometry-optimized Y3Ga3Ge2 structure at the GGA-PBE level of DFT.

Calculated values
The total magnetization comes out at 0.0 μB per cell. The calculation puts the electronic total energy at -5.379 eV/atom. The value obtained for the formation energy is -0.67 eV per atom. The offset from the most stable computed form comes out at 0.000 eV per atom. Its density of states at the Fermi level is 0.36 states/eV per atom.

a b c (Å): 4.0790 5.8964 15.4934
angles (deg): 90.00 90.00 110.24
Sites, in units of the cell vectors:
Y (0.8615, 0.7231, 0.4080)
Y (0.1385, 0.2769, 0.9080)
Y (0.8615, 0.7231, 0.0920)
Y (0.1385, 0.2769, 0.5920)
Y (0.5792, 0.1584, 0.2500)
Y (0.4208, 0.8416, 0.7500)
Ga (0.5679, 0.1357, 0.4405)
Ga (0.4321, 0.8643, 0.9405)
Ga (0.5679, 0.1357, 0.0595)
Ga (0.4321, 0.8643, 0.5595)
Ga (0.3177, 0.6355, 0.2500)
Ga (0.6823, 0.3645, 0.7500)
Ge (0.8376, 0.6751, 0.8797)
Ge (0.1624, 0.3249, 0.3797)
Ge (0.8376, 0.6751, 0.6203)
Ge (0.1624, 0.3249, 0.1203)

No. 3
Computed, not measured: a geometry-optimized Y4GaGe2 structure at the GGA-PBE level of DFT.

Calculated values
The total magnetization comes out at 0.0 μB per cell. The calculation puts the electronic total energy at -6.014 eV/atom. The value obtained for the formation energy is -0.57 eV per atom. Its density of states at the Fermi level is 0.84 states/eV per atom.

a b c (Å): 4.2118 7.4278 7.5156
angles (deg): 118.01 106.27 90.00
Sites, in units of the cell vectors:
Y (0.8655, 0.2093, 0.7309)
Y (0.1345, 0.7907, 0.2691)
Y (0.6243, 0.3203, 0.2485)
Y (0.3757, 0.6797, 0.7515)
Ga (0.0000, 0.0000, 0.0000)
Ge (0.7615, 0.7614, 0.5230)
Ge (0.2385, 0.2386, 0.4770)

No. 4
Computed, not measured: a geometry-optimized Y2Ga2Ge structure at the GGA-PBE level of DFT.

Calculated values
The total magnetization comes out at 0.0 μB per cell. The calculation puts the electronic total energy at -5.348 eV/atom. The value obtained for the formation energy is -0.63 eV per atom. The offset from the most stable computed form comes out at 0.045 eV per atom. Its density of states at the Fermi level is 0.29 states/eV per atom.

a b c (Å): 7.0338 7.0338 4.4348
angles (deg): 90.00 90.00 90.00
Sites, in units of the cell vectors:
Y (0.1729, 0.6729, 0.5000)
Y (0.6729, 0.8271, 0.5000)
Y (0.8271, 0.3271, 0.5000)
Y (0.3271, 0.1729, 0.5000)
Ge (0.0000, 0.0000, 0.0000)
Ge (0.5000, 0.5000, 0.0000)
Ga (0.3718, 0.8718, 0.0000)
Ga (0.8718, 0.6282, 0.0000)
Ga (0.6282, 0.1282, 0.0000)
Ga (0.1282, 0.3718, 0.0000)

No. 5
Computed, not measured: a geometry-optimized Y2Ga2Ge structure at the GGA-PBE level of DFT.

Calculated values
The total magnetization comes out at 0.0 μB per cell. The calculation puts the electronic total energy at -5.376 eV/atom. The value obtained for the formation energy is -0.66 eV per atom. The offset from the most stable computed form comes out at 0.017 eV per atom. Its density of states at the Fermi level is 0.71 states/eV per atom.

a b c (Å): 4.2239 5.8486 9.8107
angles (deg): 79.03 77.57 68.83
Sites, in units of the cell vectors:
Y (0.3142, 0.2606, 0.1111)
Y (0.4844, 0.3502, 0.6810)
Y (0.6858, 0.7394, 0.8889)
Y (0.5156, 0.6498, 0.3190)
Ga (0.9584, 0.1841, 0.8991)
Ga (0.1449, 0.2691, 0.4411)
Ga (0.0416, 0.8159, 0.1009)
Ga (0.8551, 0.7309, 0.5589)
Ge (0.8041, 0.0706, 0.3213)
Ge (0.1959, 0.9294, 0.6787)

No. 6
Computed, not measured: a geometry-optimized Y5Ga2Ge structure at the GGA-PBE level of DFT.

Calculated values
The total magnetization comes out at 0.0 μB per cell. The calculation puts the electronic total energy at -5.979 eV/atom. The value obtained for the formation energy is -0.61 eV per atom. Its density of states at the Fermi level is 0.83 states/eV per atom.

a b c (Å): 7.7017 7.7017 8.7816
angles (deg): 116.01 116.01 90.00
Sites, in units of the cell vectors:
Y (0.5191, 0.6853, 0.7044)
Y (0.8147, 0.9809, 0.2956)
Y (0.0000, 0.0000, 0.0000)
Y (0.5000, 0.5000, 0.0000)
Y (0.1853, 0.0191, 0.7044)
Y (0.6853, 0.1853, 0.7044)
Y (0.0191, 0.5191, 0.7044)
Y (0.3147, 0.8147, 0.2956)
Y (0.9809, 0.4809, 0.2956)
Y (0.4809, 0.3147, 0.2956)
Ga (0.1253, 0.3747, 0.0000)
Ga (0.6253, 0.1253, 0.0000)
Ga (0.3747, 0.8747, 0.0000)
Ga (0.8747, 0.6253, 0.0000)
Ge (0.7500, 0.7500, 0.5000)
Ge (0.2500, 0.2500, 0.5000)

No. 7
Computed, not measured: a geometry-optimized Y2ZrGaGe structure at the GGA-PBE level of DFT.

Calculated values
The total magnetization comes out at 2.8 μB per cell. The calculation puts the electronic total energy at -5.554 eV/atom. The value obtained for the formation energy is 0.27 eV per atom. Its density of states at the Fermi level is 0.59 states/eV per atom.

a b c (Å): 5.4309 4.7503 5.4309
angles (deg): 90.00 90.00 90.00
Sites, in units of the cell vectors:
Y (0.0000, 0.0000, 0.5000)
Y (0.5000, 0.0000, 0.0000)
Ge (0.0000, 0.0000, 0.0000)
Ga (0.0000, 0.5000, 0.0000)
Zr (0.5000, 0.5000, 0.5000)

No. 8
Computed, not measured: a geometry-optimized YbGa2Ge3 structure at the GGA-PBE level of DFT.

Calculated values
The total magnetization comes out at 0.9 μB per cell. The calculation puts the electronic total energy at -3.880 eV/atom. The value obtained for the formation energy is -0.31 eV per atom. Its density of states at the Fermi level is 2.54 states/eV per atom.

a b c (Å): 11.8200 11.8200 10.7112
angles (deg): 90.00 90.00 159.21
Sites, in units of the cell vectors:
Yb (0.0183, 0.9817, 0.6307)
Yb (0.3004, 0.6996, 0.8132)
Yb (0.9817, 0.0183, 0.1307)
Yb (0.6996, 0.3004, 0.3132)
Ga (0.1506, 0.8494, 0.7549)
Ga (0.4847, 0.5153, 0.3766)
Ga (0.1141, 0.8859, 0.1312)
Ga (0.8494, 0.1506, 0.2549)
Ga (0.8859, 0.1141, 0.6312)
Ga (0.5153, 0.4847, 0.8766)
Ga (0.7495, 0.2505, 0.0007)
Ga (0.2505, 0.7495, 0.5007)
Ge (0.4126, 0.5874, 0.9633)
Ge (0.5874, 0.4126, 0.4633)
Ge (0.4284, 0.5716, 0.7232)
Ge (0.2951, 0.7049, 0.2877)
Ge (0.0699, 0.9301, 0.9082)
Ge (0.7049, 0.2951, 0.7877)
Ge (0.5716, 0.4284, 0.2232)
Ge (0.2226, 0.7774, 0.1080)
Ge (0.7774, 0.2226, 0.6080)
Ge (0.1403, 0.8597, 0.5201)
Ge (0.8597, 0.1403, 0.0201)
Ge (0.9301, 0.0699, 0.4082)

No. 9
Computed, not measured: a geometry-optimized ZnGaGe2 structure at the GGA-PBE level of DFT.

Calculated values
The total magnetization comes out at 0.0 μB per cell. The calculation puts the electronic total energy at -3.194 eV/atom. The value obtained for the formation energy is 0.19 eV per atom. The offset from the most stable computed form comes out at 0.007 eV per atom. Its density of states at the Fermi level is 0.55 states/eV per atom.

a b c (Å): 3.4745 3.4745 7.5253
angles (deg): 76.65 76.65 60.00
Sites, in units of the cell vectors:
Ge (0.2510, 0.2510, 0.2470)
Ge (0.7490, 0.7490, 0.7530)
Zn (0.0000, 0.0000, 0.0000)
Ga (0.5000, 0.5000, 0.5000)

No. 10
Computed, not measured: a geometry-optimized ZnGaGe2 structure at the GGA-PBE level of DFT.

Calculated values
The total magnetization comes out at 0.0 μB per cell. The calculation puts the electronic total energy at -3.202 eV/atom. The value obtained for the formation energy is 0.18 eV per atom. The offset from the most stable computed form comes out at 0.000 eV per atom. Its density of states at the Fermi level is 0.24 states/eV per atom.

a b c (Å): 4.3195 4.1231 4.1231
angles (deg): 90.00 90.00 90.00
Sites, in units of the cell vectors:
Ge (0.0000, 0.0000, 0.5000)
Ge (0.0000, 0.5000, 0.0000)
Zn (0.5000, 0.0000, 0.0000)
Ga (0.5000, 0.5000, 0.5000)

No. 11
Computed, not measured: a geometry-optimized Zn3GaGe structure at the GGA-PBE level of DFT.

Calculated values
The total magnetization comes out at 0.0 μB per cell. The calculation puts the electronic total energy at -1.840 eV/atom. The value obtained for the formation energy is 0.45 eV per atom. The offset from the most stable computed form comes out at 0.000 eV per atom. Its density of states at the Fermi level is 0.41 states/eV per atom.

a b c (Å): 4.8685 4.8685 4.8685
angles (deg): 90.00 90.00 90.00
Sites, in units of the cell vectors:
Ge (0.0000, 0.0000, 0.0000)
Zn (0.0000, 0.5000, 0.0000)
Zn (0.0000, 0.0000, 0.5000)
Zn (0.5000, 0.0000, 0.0000)
Ga (0.5000, 0.5000, 0.5000)

No. 12
Computed, not measured: a geometry-optimized ZnGa2Ge2 structure at the GGA-PBE level of DFT.

Calculated values
The total magnetization comes out at 0.0 μB per cell. The calculation puts the electronic total energy at -3.109 eV/atom. The value obtained for the formation energy is 0.20 eV per atom. The offset from the most stable computed form comes out at 0.000 eV per atom. Its density of states at the Fermi level is 0.36 states/eV per atom.

a b c (Å): 4.5508 4.5508 5.9983
angles (deg): 67.71 67.71 90.00
Sites, in units of the cell vectors:
Ge (0.3795, 0.3795, 0.2409)
Ge (0.6205, 0.6205, 0.7591)
Zn (0.0000, 0.0000, 0.0000)
Ga (0.7500, 0.2500, 0.5000)
Ga (0.2500, 0.7500, 0.5000)